No. 1
This record from the Alexandria database describes crystalline RbAsF5 at its relaxed geometry. The functional is PBE. Values from VASP.

Properties
E_form (uncorrected) in eV/atom: -2.273
Final energy in eV/cell: -61.76
Total moment in μB/cell: 0.00

Structure (Quantum ESPRESSO input):
```
&SYSTEM
  ibrav = 0, nat = 14, ntyp = 3
/
ATOMIC_SPECIES
F 19.00 F.upf
Rb 85.47 Rb.upf
As 74.92 As.upf
CELL_PARAMETERS angstrom
-3.8590 4.0395 -2.5055
1.0684 -4.1271 -4.3946
-3.5309 -5.6361 5.5144
ATOMIC_POSITIONS crystal
F 0.4577 0.2650 0.5879
F 0.7461 0.9961 0.7500
F 0.2218 0.8099 0.5206
F 0.7782 0.1901 0.4794
F 0.8229 0.1302 0.0879
F 0.7894 0.7012 0.9794
F 0.5423 0.7350 0.4121
F 0.2539 0.0039 0.2500
F 0.1771 0.8698 0.9121
F 0.2106 0.2988 0.0206
Rb 0.2520 0.5020 0.7500
Rb 0.7480 0.4980 0.2500
As 0.0000 0.0000 0.0000
As 0.5000 0.0000 0.5000
```



No. 2
This record from the Alexandria database describes crystalline Ac4Tb4Y3 at its relaxed geometry. The functional is PBE. Values from VASP.

Properties
ΔH_f (0 K) in eV per atom: 0.07
Final energy in eV/cell: -53.63
Total moment in μB/cell: 0.00

Structure (Quantum ESPRESSO input):
```
&SYSTEM
  ibrav = 0, nat = 11, ntyp = 3
/
ATOMIC_SPECIES
Ac 227.00 Ac.upf
Tb 158.93 Tb.upf
Y 88.91 Y.upf
CELL_PARAMETERS angstrom
-1.7055 0.2446 -3.2597
1.5714 -5.4406 -1.2304
-16.7005 -3.6704 8.5026
ATOMIC_POSITIONS crystal
Ac 0.2296 0.9066 0.8137
Ac 0.2280 0.2788 0.5571
Ac 0.7261 0.0893 0.1786
Ac 0.7272 0.7208 0.4409
Tb 0.2262 0.5430 0.0866
Tb 0.7260 0.4622 0.9250
Tb 0.7287 0.8199 0.6398
Tb 0.2262 0.1795 0.3583
Y 0.2255 0.9999 0.0005
Y 0.7299 0.3661 0.7323
Y 0.2264 0.6339 0.2672
```



No. 3
This record from the Alexandria database describes crystalline Mg2TcAg at its relaxed geometry. The functional is PBE. Values from VASP.

Properties
ΔH_f (0 K) in eV per atom: 0.17
Final energy in eV/cell: -15.74
Total moment in μB/cell: 0.00

Structure (Quantum ESPRESSO input):
```
&SYSTEM
  ibrav = 0, nat = 4, ntyp = 3
/
ATOMIC_SPECIES
Mg 24.30 Mg.upf
Ag 107.87 Ag.upf
Tc 98.00 Tc.upf
CELL_PARAMETERS angstrom
4.8201 0.0000 0.0000
0.0000 2.8498 0.0004
0.0000 0.0012 5.0064
ATOMIC_POSITIONS crystal
Mg 0.0000 0.1247 0.9388
Mg 0.5000 0.1255 0.3205
Ag 0.5000 0.6250 0.8037
Tc 0.0000 0.6248 0.4370
```



Q: Among the records above, which one has the highest final energy?
A: Mg2TcAg



Q: Among the records above, which one has the highest final energy?
A: Mg2TcAg